Record 1
The following is a PBE calculation of Cs3SmTm2Se6 after structural relaxation, from Alexandria.

Computed properties:
Formation energy (no corrections) = -1715 meV per atom
Crystal system = monoclinic

a = 7.383 Å, b = 7.383 Å, c = 8.727 Å
α = 98.11°, β = 98.11°, γ = 120.00°
Fractional coordinates of all 12 atoms:
Cs1 0.165 0.835 0.500
Cs2 0.835 0.165 0.500
Cs3 0.500 0.500 0.500
Sm1 0.000 0.000 0.000
Tm1 0.333 0.667 0.000
Tm2 0.667 0.333 0.000
Se1 0.938 0.597 0.815
Se2 0.720 0.720 0.185
Se3 0.062 0.403 0.185
Se4 0.597 0.938 0.815
Se5 0.280 0.280 0.815
Se6 0.403 0.062 0.185



Record 2
The following is a PBE calculation of K2BaNpF8 after structural relaxation, from Alexandria.

Computed properties:
Formation energy (no corrections) = -3417 meV per atom
Crystal system = tetragonal

a = 6.079 Å, b = 6.079 Å, c = 7.315 Å
α = 114.55°, β = 114.55°, γ = 90.00°
Each line ends with the local moment (μB).
Fractional coordinates of all 12 atoms:
K1 0.750 0.250 0.500  0.00
K2 0.000 0.000 0.000  0.00
Ba1 0.500 0.500 0.000  0.00
Np1 0.250 0.750 0.500  3.03
F1 0.147 0.642 0.726  -0.01
F2 0.578 0.642 0.726  -0.01
F3 0.358 0.422 0.274  -0.01
F4 0.916 0.853 0.274  -0.01
F5 0.578 0.084 0.726  -0.01
F6 0.358 0.853 0.274  -0.01
F7 0.147 0.084 0.726  -0.01
F8 0.916 0.422 0.274  -0.01



Record 3
The following is a PBE calculation of Sc2InSb after structural relaxation, from Alexandria.

Computed properties:
Formation energy (no corrections) = -517 meV per atom
Crystal system = monoclinic

a = 4.446 Å, b = 5.413 Å, c = 6.040 Å
α = 40.88°, β = 90.00°, γ = 90.00°
Fractional coordinates of all 4 atoms:
In1 0.500 0.500 0.500
Sb1 0.000 0.000 0.500
Sc1 0.000 0.000 0.000
Sc2 0.500 0.500 0.000



Record 4
The following is a PBE calculation of Tm4Tl2Pt after structural relaxation, from Alexandria.

Computed properties:
Crystal system = orthorhombic
DFT formation energy = -3.24 eV/f.u.

a = 3.803 Å, b = 8.612 Å, c = 12.317 Å
α = 90.00°, β = 90.00°, γ = 90.00°
Fractional coordinates of all 14 atoms:
Tm1 0.000 0.645 0.802
Tm2 0.000 0.355 0.198
Tm3 0.000 0.145 0.698
Tm4 0.000 0.855 0.302
Tm5 0.500 0.789 0.562
Tm6 0.500 0.211 0.438
Tm7 0.500 0.711 0.062
Tm8 0.500 0.289 0.938
Tl1 0.500 0.939 0.852
Tl2 0.500 0.061 0.148
Tl3 0.500 0.439 0.648
Tl4 0.500 0.561 0.352
Pt1 0.000 0.000 0.500
Pt2 0.000 0.500 0.000



Record 5
The following is a PBE calculation of Al2TlOs after structural relaxation, from Alexandria.

Computed properties:
Crystal system = tetragonal
DFT formation energy = 1.30 eV/f.u.

a = 4.888 Å, b = 4.888 Å, c = 4.888 Å
α = 129.91°, β = 129.91°, γ = 73.54°
Fractional coordinates of all 4 atoms:
Tl1 0.750 0.250 0.500
Os1 0.250 0.750 0.500
Al1 0.000 0.000 0.000
Al2 0.500 0.500 0.000



Record 6
The following is a PBE calculation of CsZnSbTeHO after structural relaxation, from Alexandria.

Computed properties:
Crystal system = triclinic

a = 5.337 Å, b = 5.537 Å, c = 6.371 Å
α = 91.97°, β = 100.83°, γ = 89.88°
Fractional coordinates of all 6 atoms:
Cs1 0.198 0.597 0.666
Zn1 0.674 0.101 0.883
Sb1 0.133 0.096 0.160
Te1 0.681 0.096 0.477
H1 0.108 0.778 0.167
O1 0.332 0.098 0.923



Record 7
The following is a PBE calculation of ZnTc2Hg after structural relaxation, from Alexandria.

Computed properties:
Crystal system = tetragonal
DFT formation energy = 2.48 eV/f.u.

a = 3.802 Å, b = 3.802 Å, c = 10.172 Å
α = 79.23°, β = 79.23°, γ = 90.00°
Fractional coordinates of all 8 atoms:
Zn1 0.500 0.500 0.000
Zn2 0.250 0.750 0.500
Hg1 0.000 0.000 0.000
Hg2 0.750 0.250 0.500
Tc1 0.565 0.125 0.250
Tc2 0.185 0.625 0.250
Tc3 0.375 0.435 0.750
Tc4 0.875 0.815 0.750



Record 8
The following is a PBE calculation of PmDy2OsN4 after structural relaxation, from Alexandria.

Computed properties:
Formation energy (no corrections) = -960 meV per atom
Crystal system = orthorhombic

a = 3.428 Å, b = 6.095 Å, c = 11.678 Å
α = 90.00°, β = 90.00°, γ = 106.33°
Fractional coordinates of all 16 atoms:
Pm1 0.122 0.244 0.750
Pm2 0.878 0.756 0.250
Dy1 0.369 0.737 0.541
Dy2 0.631 0.263 0.041
Dy3 0.631 0.263 0.459
Dy4 0.369 0.737 0.959
Os1 0.859 0.718 0.750
Os2 0.141 0.282 0.250
N1 0.267 0.535 0.129
N2 0.733 0.465 0.629
N3 0.733 0.465 0.871
N4 0.267 0.535 0.371
N5 0.000 0.000 0.500
N6 0.000 0.000 0.000
N7 0.443 0.886 0.750
N8 0.557 0.114 0.250



Sequential VASP energy output: -4.809, -6.086, -5.398, -4.557, -4.944, -3.493, -4.956, -8.270 eV per atom